{"formula": "Tb2MgTe", "functional": "PBE", "state": "relaxed", "n_ef_per_ev_cell": 3.02, "relative_energy_ev_per_atom": 0.000, "total_energy_ev_per_atom": -4.11, "raw_formation_energy_ev_per_atom": -0.609, "sg": "P4/mmm, No. 123", "lattice_angstrom": [[-0.056, 3.161, -2.340], [-3.778, 0.606, 0.910], [1.931, 3.999, 5.354]], "species": ["Mg", "Te", "Tb", "Tb"], "fractional_positions": [[0.500, 0.500, 0.500], [0.500, 0.500, 0.000], [0.000, 0.000, 0.751], [0.000, 0.000, 0.249]]}

=====

{"formula": "Tb6MgTe8", "functional": "PBE", "state": "relaxed", "n_ef_per_ev_cell": 4.80, "total_energy_ev_per_atom": -4.93, "raw_formation_energy_ev_per_atom": -1.299, "sg": "Fm-3m, No. 225", "lattice_angstrom": [[7.552, 0.000, 4.360], [2.517, 7.121, 4.360], [0.000, 0.000, 8.721]], "species": ["Tb", "Tb", "Tb", "Tb", "Tb", "Tb", "Mg", "Te", "Te", "Te", "Te", "Te", "Te", "Te", "Te"], "fractional_positions": [[0.000, 0.500, 0.500], [0.500, 0.000, 0.000], [0.500, 0.500, 0.000], [0.000, 0.000, 0.500], [0.000, 0.500, 0.000], [0.500, 0.000, 0.500], [0.000, 0.000, 0.000], [0.750, 0.750, 0.750], [0.250, 0.250, 0.250], [0.754, 0.246, 0.246], [0.246, 0.754, 0.754], [0.246, 0.246, 0.754], [0.754, 0.754, 0.246], [0.754, 0.246, 0.754], [0.246, 0.754, 0.246]]}